First-principles (PBE with a Hubbard U) data for a relaxed structure of CsScCrF6, as listed in Alexandria.

Results
Density of states at the Fermi level = 6.75 states/eV per cell
Electronic total energy = -54.57 eV/cell
Space-group type = No. 149

```
CsScCrF6
1.0
5.6906 0.0000 0.0000
2.8454 4.9282 0.0000
0.0001 -0.0002 6.4122
Cs Sc Cr F
1 1 1 6
direct
0.0000 0.0000 0.0000
0.3333 0.3333 0.5000
0.6667 0.6667 0.5000
0.0124 0.3825 0.3226
0.3825 0.0125 0.6773
0.6050 0.3826 0.6773
0.0124 0.6050 0.6773
0.3825 0.6050 0.3226
0.6050 0.0125 0.3226
```